Material: CsBa2NaPt
Method: DFT, PBE
State: optimized geometry

The structure belongs to space group P4/mmm (No. 123); the cell edges are 6.243, 6.243 and 6.972 Å and the angles 90.00°, 90.00° and 90.00°. The inequivalent atoms are Cs at (0.000, 0.000, 0.000), Ba at (0.000, 0.500, 0.500), Na at (0.500, 0.500, 0.000) and Pt at (0.000, 0.000, 0.500).

As for the energy: -13.1 eV per cell. As for the energy above the most stable polymorph in this dataset: 0 meV per atom. The energy relative to the elements comes out at -0.217 eV per atom.

Material: CaPm2Y4Er
Method: DFT, PBE
State: optimized geometry

The structure belongs to space group C2/c (No. 15); the cell edges are 13.834, 13.435 and 6.868 Å and the angles 90.00°, 119.71° and 90.00°. The inequivalent atoms are Ca at (0.000, 0.000, 0.000), Pm at (0.000, 0.500, 0.000), Pm at (0.250, 0.250, 0.000), Y at (0.000, 0.251, 0.001), Y at (0.236, 0.497, 0.484) and Er at (0.250, 0.250, 0.500).

As for the energy: -154.1 eV per cell. The energy relative to the elements comes out at 0.425 eV per atom.

Material: AlCdB2Rh
Method: DFT, PBE
State: optimized geometry

The structure belongs to space group P4/mmm (No. 123); the cell edges are 4.084, 4.084 and 5.317 Å and the angles 90.00°, 90.00° and 90.00°. The inequivalent atoms are Al at (0.000, 0.000, 0.000), Cd at (0.000, 0.000, 0.500), B at (0.000, 0.500, 0.500) and Rh at (0.500, 0.500, 0.000).

As for the energy: -15.9 eV per cell. The energy relative to the elements comes out at 1.884 eV per atom.

Material: Ho2TmAl9
Method: DFT, PBE
State: optimized geometry

The structure belongs to space group P4/mmm (No. 123); the cell edges are 4.239, 4.239 and 12.716 Å and the angles 90.00°, 90.00° and 90.00°. The inequivalent atoms are Ho at (0.000, 0.000, 0.167), Tm at (0.000, 0.000, 0.500), Al at (0.000, 0.500, 0.000), Al at (0.000, 0.500, 0.334), Al at (0.500, 0.500, 0.167) and Al at (0.500, 0.500, 0.500).

As for the energy: -52.3 eV per cell. The energy relative to the elements comes out at -0.416 eV per atom.

Material: In2HRu
Method: DFT, PBE
State: optimized geometry

The structure belongs to space group I-42d (No. 122); the cell edges are 6.497, 6.497 and 5.965 Å and the angles 90.00°, 90.00° and 90.00°. The inequivalent atoms are In at (0.180, 0.250, 0.125), H at (0.000, 0.000, 0.000) and Ru at (0.000, 0.000, 0.500).

As for the energy: -65.7 eV per cell. As for the energy above the most stable polymorph in this dataset: 0 meV per atom.

Material: PrAlPt
Method: DFT, PBE
State: optimized geometry

The structure belongs to space group P2_1/m (No. 11); the cell edges are 7.176, 4.361 and 12.380 Å and the angles 90.00°, 91.67° and 90.00°. The inequivalent atoms are Pr at (0.019, 0.250, 0.373), Pr at (0.150, 0.250, 0.081), Pr at (0.478, 0.750, 0.706), Al at (0.152, 0.250, 0.803), Al at (0.353, 0.750, 0.457), Al at (0.494, 0.750, 0.083), Pt at (0.228, 0.750, 0.244), Pt at (0.280, 0.250, 0.567) and Pt at (0.285, 0.750, 0.907).

As for the energy: -105.8 eV per cell. The energy relative to the elements comes out at -1.023 eV per atom.

Material: Li4MgGa
Method: DFT, PBE
State: optimized geometry

The structure belongs to space group P2_1/m (No. 11); the cell edges are 5.629, 4.580 and 8.483 Å and the angles 90.00°, 109.15° and 90.00°. The inequivalent atoms are Li at (0.030, 0.250, 0.083), Li at (0.179, 0.250, 0.415), Li at (0.265, 0.750, 0.586), Li at (0.451, 0.750, 0.917), Mg at (0.383, 0.750, 0.267) and Ga at (0.134, 0.250, 0.764).

As for the energy: -26.5 eV per cell. As for the energy above the most stable polymorph in this dataset: 4 meV per atom. The energy relative to the elements comes out at -0.163 eV per atom.

Material: Nd2Sb4Pt3Rh
Method: DFT, PBE
State: optimized geometry

The structure belongs to space group P-4m2 (No. 115); the cell edges are 4.594, 4.594 and 10.785 Å and the angles 90.00°, 90.00° and 90.00°. The inequivalent atoms are Nd at (0.000, 0.500, 0.232), Sb at (0.000, 0.000, 0.500), Sb at (0.000, 0.500, 0.873), Sb at (0.500, 0.500, 0.500), Pt at (0.000, 0.000, 0.000), Pt at (0.000, 0.500, 0.632) and Rh at (0.500, 0.500, 0.000).

As for the energy: -59.5 eV per cell. For the formation energy from raw total energies, the calculation gives -8.0 eV/f.u.

Material: SrHg2AuI
Method: DFT, PBE
State: optimized geometry

The structure belongs to space group P4/mmm (No. 123); the cell edges are 5.400, 5.400 and 6.089 Å and the angles 90.00°, 90.00° and 90.00°. The inequivalent atoms are Sr at (0.000, 0.000, 0.000), Hg at (0.000, 0.500, 0.500), Au at (0.000, 0.000, 0.500) and I at (0.500, 0.500, 0.000).

As for the energy: -9.8 eV per cell. For the formation energy from raw total energies, the calculation gives -2.7 eV/f.u.

Material: LiMnAuCl2
Method: DFT, PBE
State: optimized geometry

The structure belongs to space group P4/mmm (No. 123); the cell edges are 4.870, 4.870 and 5.338 Å and the angles 90.00°, 90.00° and 90.00°. The inequivalent atoms are Li at (0.000, 0.000, 0.000), Mn at (0.500, 0.500, 0.500), Au at (0.500, 0.500, 0.000) and Cl at (0.000, 0.500, 0.500).

As for the energy: -20.7 eV per cell. For the formation energy from raw total energies, the calculation gives -2.6 eV/f.u.

Material: Sr3TiGe
Method: DFT, PBE
State: optimized geometry

The structure belongs to space group Pm-3m (No. 221); the cell edges are 6.049, 6.049 and 6.049 Å and the angles 90.00°, 90.00° and 90.00°. The inequivalent atoms are Sr at (0.000, 0.000, 0.500), Ti at (0.500, 0.500, 0.500) and Ge at (0.000, 0.000, 0.000).

As for the energy: -15.1 eV per cell. As for the energy above the most stable polymorph in this dataset: 0 meV per atom. The energy relative to the elements comes out at 0.496 eV per atom.

Material: CaGa5Pd7
Method: DFT, PBE
State: optimized geometry

The structure belongs to space group Imm2 (No. 44); the cell edges are 5.350, 9.034 and 8.779 Å and the angles 90.00°, 90.00° and 90.00°. The inequivalent atoms are Ca at (0.000, 0.000, 0.000), Ga at (0.000, 0.500, 0.272), Ga at (0.247, 0.260, 0.744), Pd at (0.000, 0.000, 0.341), Pd at (0.000, 0.000, 0.661), Pd at (0.000, 0.292, 0.486), Pd at (0.000, 0.342, 0.008) and Pd at (0.000, 0.500, 0.724).

As for the energy: -122.2 eV per cell. The energy relative to the elements comes out at -0.587 eV per atom.

Material: TlCuRe2
Method: DFT, PBE
State: optimized geometry

The structure belongs to space group Immm (No. 71); the cell edges are 2.926, 4.597 and 9.615 Å and the angles 90.00°, 90.00° and 90.00°. The inequivalent atoms are Tl at (0.000, 0.000, 0.000), Cu at (0.000, 0.000, 0.500) and Re at (0.000, 0.500, 0.234).

As for the energy: -56.5 eV per cell. As for the energy above the most stable polymorph in this dataset: 328 meV per atom. The energy relative to the elements comes out at 0.783 eV per atom.

Material: HfZnSnO2
Method: DFT, PBE
State: optimized geometry

The structure belongs to space group P4/mmm (No. 123); the cell edges are 4.040, 4.040 and 5.745 Å and the angles 90.00°, 90.00° and 90.00°. The inequivalent atoms are Hf at (0.000, 0.000, 0.000), Zn at (0.000, 0.000, 0.500), Sn at (0.500, 0.500, 0.500) and O at (0.000, 0.500, 0.000).

As for the energy: -32.1 eV per cell. For the formation energy from raw total energies, the calculation gives -6.9 eV/f.u.

Material: CuPt3
Method: DFT, PBE
State: optimized geometry

The structure belongs to space group Cmmm (No. 65); the cell edges are 5.510, 7.859 and 2.752 Å and the angles 90.00°, 90.00° and 90.00°. The inequivalent atoms are Cu at (0.000, 0.000, 0.000), Pt at (0.000, 0.500, 0.000) and Pt at (0.250, 0.250, 0.500).

As for the energy: -45.5 eV per cell. The energy relative to the elements comes out at -0.131 eV per atom.